<1>
Here is a geometry-optimized ZnRhF4 structure from the Alexandria database. Energies are from PBE.

Cell: 6.167 6.167 5.059 Å, 90.00 90.00 90.00°
Space group I-4 (No. 82)
Asymmetric unit:
Zn  0.000  0.000  0.000 [2 per cell]
Rh  0.000  0.500  0.750 [2 per cell]
F  0.142  0.799  0.760 [8 per cell]

Magnetic moment   0.1674 μB/atom

<2>
Here is a geometry-optimized ZnRhF4 structure from the Alexandria database. Energies are from PBE.

Cell: 9.335 3.419 5.516 Å, 90.00 104.78 90.00°
Space group C2/m (No. 12)
Asymmetric unit:
Zn  0.000  0.000  0.000 [2 per cell]
Rh  0.000  0.500  0.500 [2 per cell]
F  0.106  0.500  0.875 [4 per cell]
F  0.111  0.000  0.361 [4 per cell]

Magnetic moment   0.1667 μB/atom

So which one is most stable? That would be <2>, about 2.0 kJ/mol of atoms below the next structure.

<1>
Here is a geometry-optimized Zn3RhF6 structure from the Alexandria database. Energies are from PBE.

Cell: 4.535 5.352 6.693 Å, 99.90 97.68 103.47°
Space group P-1 (No. 2)
Asymmetric unit:
Zn  0.000  0.000  0.000 [1 per cell]
Zn  0.000  0.500  0.000 [1 per cell]
Zn  0.500  0.000  0.500 [1 per cell]
Rh  0.000  0.500  0.500 [1 per cell]
F  0.190  0.193  0.416 [2 per cell]
F  0.260  0.610  0.792 [2 per cell]
F  0.311  0.714  0.258 [2 per cell]

Magnetic moment   0.1025 μB/atom

<2>
Here is a geometry-optimized Zn3RhF6 structure from the Alexandria database. Energies are from PBE.

Cell: 5.357 5.508 6.015 Å, 74.85 79.91 62.53°
Space group P-1 (No. 2)
Asymmetric unit:
Zn  0.000  0.000  0.000 [1 per cell]
Zn  0.000  0.000  0.500 [1 per cell]
Zn  0.500  0.500  0.000 [1 per cell]
Rh  0.000  0.500  0.000 [1 per cell]
F  0.065  0.328  0.332 [2 per cell]
F  0.290  0.775  0.236 [2 per cell]
F  0.304  0.867  0.745 [2 per cell]

Magnetic moment   0.1001 μB/atom

So which one is most stable? That would be <2>, about 15.4 kJ/mol of atoms below the next structure.